Record 1
A geometry-optimized CoRePbBr2 structure, computed with PBE-GGA.

## Properties
The uncorrected formation energy comes out at 1158 meV/atom. For the raw total energy, the calculation gives -4.16 eV/atom. The crystal system is tetragonal.

extended XYZ file:
```
5
Lattice="4.6557 0.0000 0.0000 0.0000 5.9479 0.0000 0.0000 0.0000 4.6557" Properties=species:S:1:pos:R:3 pbc="T T T"
Pb 0.0000 2.9739 0.0000
Re 2.3279 2.9739 2.3279
Co 0.0000 0.0000 0.0000
Br 0.0000 0.0000 2.3279
Br 2.3279 0.0000 0.0000
```



Record 2
A geometry-optimized CoPbSe2Br structure, computed with PBE-GGA.

## Properties
The uncorrected formation energy comes out at -66 meV/atom. For the raw total energy, the calculation gives -3.96 eV/atom. The crystal system is tetragonal. The value obtained for the offset from the most stable computed form is 0 meV per atom.

extended XYZ file:
```
5
Lattice="4.7822 0.0000 0.0000 0.0000 4.7822 0.0000 0.0000 0.0000 5.1173" Properties=species:S:1:pos:R:3 pbc="T T T"
Pb 2.3911 2.3911 2.5586
Co 0.0000 0.0000 0.0000
Se 0.0000 2.3911 0.0000
Se 2.3911 0.0000 0.0000
Br 0.0000 0.0000 2.5586
```



Record 3
A geometry-optimized CoSn2PbBr structure, computed with PBE-GGA.

## Properties
The uncorrected formation energy comes out at 156 meV/atom. For the raw total energy, the calculation gives -3.94 eV/atom. The crystal system is tetragonal.

extended XYZ file:
```
5
Lattice="-3.3910 -3.4821 -0.4511 1.9702 -1.2664 -5.0347 3.0543 -3.2347 2.0089" Properties=species:S:1:pos:R:3 pbc="T T T"
Pb 0.8167 -3.9916 -1.7385
Co 0.0000 0.0000 0.0000
Sn 1.5272 -1.6174 1.0044
Sn -1.6955 -1.7410 -0.2256
Br 0.9851 -0.6332 -2.5173
```



Record 4
A geometry-optimized Co2TePbBr structure, computed with PBE-GGA.

## Properties
The uncorrected formation energy comes out at 830 meV/atom. For the raw total energy, the calculation gives -3.72 eV/atom. The crystal system is tetragonal.

extended XYZ file:
```
5
Lattice="-1.1638 4.2512 0.5783 -6.1924 -1.1190 -4.2356 -2.2885 -1.1220 3.6422" Properties=species:S:1:pos:R:3 pbc="T T T"
Pb -4.8224 1.0051 -0.0076
Te -3.0962 -0.5595 -2.1178
Co -1.1443 -0.5610 1.8211
Co -0.5819 2.1256 0.2892
Br 0.0000 0.0000 0.0000
```



Record 5
A geometry-optimized TlCo2PbBr8 structure, computed with PBE-GGA.

## Properties
The uncorrected formation energy comes out at -519 meV/atom. For the raw total energy, the calculation gives -3.32 eV/atom. The crystal system is trigonal.

extended XYZ file:
```
12
Lattice="6.8963 0.0000 0.0000 3.4481 5.9724 0.0000 3.4481 1.9908 9.8984" Properties=species:S:1:pos:R:3 pbc="T T T"
Tl 6.8963 3.9816 4.9492
Co 3.4481 1.9908 2.5607
Co 10.3444 5.9724 7.3377
Pb 0.0000 0.0000 0.0000
Br 3.4481 1.9908 4.8741
Br 5.6902 2.1533 1.8112
Br 10.3444 5.9724 5.0244
Br 9.0827 3.8512 1.8112
Br 4.7099 4.1119 8.0872
Br 5.9160 5.9402 1.8112
Br 7.8766 2.0229 8.0872
Br 8.1024 5.8099 8.0872
```



Record 6
A geometry-optimized Zn2CoPbBr structure, computed with PBE-GGA.

## Properties
The uncorrected formation energy comes out at 349 meV/atom. For the raw total energy, the calculation gives -2.66 eV/atom. The crystal system is tetragonal.

extended XYZ file:
```
5
Lattice="-2.0320 0.0317 4.2396 0.2906 -4.8760 0.1757 4.2305 0.3251 2.0252" Properties=species:S:1:pos:R:3 pbc="T T T"
Pb 1.2446 -2.2596 3.2203
Zn 2.1153 0.1626 1.0126
Zn -1.0160 0.0158 2.1198
Co 0.0000 0.0000 0.0000
Br 0.1453 -2.4380 0.0878
```



Record 7
A geometry-optimized CoPdBr4 structure, computed with PBE-GGA.

## Properties
The uncorrected formation energy comes out at -216 meV/atom. For the raw total energy, the calculation gives -3.38 eV/atom. The crystal system is monoclinic. The value obtained for the offset from the most stable computed form is 43 meV per atom.

extended XYZ file:
```
6
Lattice="-3.6676 -0.7671 -0.7379 1.5419 -6.4765 -0.9312 -1.0045 -1.3148 6.3590" Properties=species:S:1:pos:R:3 pbc="T T T"
Co 0.0000 0.0000 0.0000
Pd -2.3360 -1.0409 2.8106
Br 0.0157 -1.7997 1.7926
Br -2.3427 -2.8377 4.7113
Br -0.7875 -5.7207 -0.0214
Br 0.5217 -5.9916 3.6352
```



Record 8
A geometry-optimized CoPdBr5 structure, computed with PBE-GGA.

## Properties
The uncorrected formation energy comes out at -230 meV/atom. For the raw total energy, the calculation gives -3.18 eV/atom. The crystal system is monoclinic.

extended XYZ file:
```
14
Lattice="-4.9762 -3.8380 2.3007 3.3227 -5.4836 -1.9174 3.3697 -5.4601 8.7599" Properties=species:S:1:pos:R:3 pbc="T T T"
Co -0.1896 -8.3811 7.7223
Co 1.9058 -6.4006 1.4210
Pd 0.0000 0.0000 0.0000
Pd 1.6848 -2.7300 4.3800
Br 1.9830 -7.5873 8.2978
Br 2.5522 -8.2936 2.9475
Br 1.4233 -5.0804 3.3460
Br -2.3998 -7.9428 8.8456
Br 1.6384 -4.5828 -0.2982
Br 0.0778 -10.1989 9.4414
Br 4.1160 -6.8388 0.2976
Br 0.2929 -9.7013 5.7973
Br -0.8360 -6.4881 6.1957
Br -0.2668 -7.1943 0.8455
```



Record 9
A geometry-optimized CoPdBr4 structure, computed with PBE-GGA.

## Properties
The uncorrected formation energy comes out at -259 meV/atom. For the raw total energy, the calculation gives -3.42 eV/atom. The crystal system is monoclinic. The value obtained for the offset from the most stable computed form is 0 meV per atom.

extended XYZ file:
```
12
Lattice="6.8262 -1.2637 0.0000 -2.4489 7.0453 0.0000 -2.1887 -2.8908 7.9088" Properties=species:S:1:pos:R:3 pbc="T T T"
Co 0.4821 3.2067 0.9966
Co 1.7066 -0.3159 6.9122
Pd 5.1197 -0.9478 0.9190
Pd -2.9310 3.8386 6.9897
Br 0.3732 -1.6460 5.2911
Br -1.4245 5.0737 0.8009
Br -0.8513 1.8766 2.6177
Br -0.2000 1.5510 7.1078
Br 1.8155 4.5368 2.6177
Br 3.0400 1.0142 5.2911
Br 3.6131 -2.1829 7.1078
Br 2.3887 1.3398 0.8009
```



Record 10
A geometry-optimized CoPd3Br structure, computed with PBE-GGA.

## Properties
The uncorrected formation energy comes out at 968 meV/atom. For the raw total energy, the calculation gives -3.90 eV/atom. The crystal system is cubic. The value obtained for the offset from the most stable computed form is 214 meV per atom.

extended XYZ file:
```
5
Lattice="-1.5234 2.6152 -3.5933 1.9879 -2.9964 -3.0236 -3.9749 -2.5008 -0.1350" Properties=species:S:1:pos:R:3 pbc="T T T"
Co -1.7552 -1.4410 -3.3759
Br 0.0000 0.0000 0.0000
Pd 0.9939 -1.4982 -1.5118
Pd -1.9874 -1.2504 -0.0675
Pd -0.7617 1.3076 -1.7967
```



Record 11
A geometry-optimized CoPd3Br structure, computed with PBE-GGA.

## Properties
The uncorrected formation energy comes out at 755 meV/atom. For the raw total energy, the calculation gives -4.12 eV/atom. The crystal system is cubic. The value obtained for the offset from the most stable computed form is 0 meV per atom.

extended XYZ file:
```
5
Lattice="4.6572 0.0000 0.0000 0.0000 4.6572 0.0000 0.0000 0.0000 4.6572" Properties=species:S:1:pos:R:3 pbc="T T T"
Co 0.0000 0.0000 0.0000
Br 2.3286 2.3286 2.3286
Pd 0.0000 2.3286 0.0000
Pd 0.0000 0.0000 2.3286
Pd 2.3286 0.0000 0.0000
```



Record 12
A geometry-optimized Co2PdBr4 structure, computed with PBE-GGA.

## Properties
The uncorrected formation energy comes out at 172 meV/atom. For the raw total energy, the calculation gives -3.56 eV/atom. The crystal system is tetragonal.

extended XYZ file:
```
7
Lattice="5.2956 0.0000 0.0000 0.0000 5.2956 0.0000 2.6478 2.6478 6.1189" Properties=species:S:1:pos:R:3 pbc="T T T"
Co 5.2956 5.2956 5.0393
Co 2.6478 2.6478 1.0796
Br 5.2956 5.2956 2.7130
Br 2.6478 2.6478 3.4059
Br 0.0000 2.6478 0.0000
Br 2.6478 0.0000 0.0000
Pd 0.0000 0.0000 0.0000
```



The calculation returns the following density values, one per record and in order: 7.88, 7.15, 7.32, 5.90, 4.76, 7.33, 4.78, 4.38, 4.53, 7.34, 7.53, 5.26 g/cm3.